1.
# KCo2W, optimized geometry, DFT GGA-PBE
data_KCo2W
_chemical_formula_sum 'K4 Co8 W4'
_cell_length_a 6.312
_cell_length_b 6.312
_cell_length_c 6.312
_cell_angle_alpha 90.00
_cell_angle_beta 90.00
_cell_angle_gamma 90.00
_space_group_name_H-M_alt 'F m -3 m'
_space_group_IT_number 225
_space_group_name_Hall '-F 4 2 3'
loop_
_atom_site_label
_atom_site_fract_x
_atom_site_fract_y
_atom_site_fract_z
_atom_site_occupancy
K1 0.000 0.000 0.000 1
Co1 0.250 0.250 0.250 1
W1 0.000 0.000 0.500 1
# Magnetization (μB/f.u.): 1.0

2.
# KCo2W, optimized geometry, DFT GGA-PBE
data_KCo2W
_chemical_formula_sum 'K2 Co4 W2'
_cell_length_a 8.136
_cell_length_b 2.839
_cell_length_c 7.135
_cell_angle_alpha 90.00
_cell_angle_beta 97.05
_cell_angle_gamma 90.00
_space_group_name_H-M_alt 'C 1 2/m 1'
_space_group_IT_number 12
loop_
_space_group_symop_operation_xyz
'x,y,z'
'-x,-y,-z'
'-x,y,-z'
'x,-y,z'
'x+1/2,y+1/2,z'
'-x+1/2,-y+1/2,-z'
'-x+1/2,y+1/2,-z'
'x+1/2,-y+1/2,z'
loop_
_atom_site_label
_atom_site_fract_x
_atom_site_fract_y
_atom_site_fract_z
_atom_site_occupancy
K1 0.000 0.000 0.000 1
Co1 0.226 0.000 0.630 1
W1 0.000 0.500 0.500 1
# Magnetization (μB/f.u.): 0.7

3.
# KCo3W, optimized geometry, DFT GGA-PBE
data_KCo3W
_chemical_formula_sum 'K1 Co3 W1'
_cell_length_a 4.624
_cell_length_b 4.624
_cell_length_c 4.624
_cell_angle_alpha 90.00
_cell_angle_beta 90.00
_cell_angle_gamma 90.00
_space_group_name_H-M_alt 'P m -3 m'
_space_group_IT_number 221
_space_group_name_Hall '-P 4 2 3'
loop_
_atom_site_label
_atom_site_fract_x
_atom_site_fract_y
_atom_site_fract_z
_atom_site_occupancy
K1 0.000 0.000 0.000 1
Co1 0.000 0.500 0.500 1
W1 0.500 0.500 0.500 1
# Magnetization (μB/f.u.): 1.7

4.
# KCoW2, optimized geometry, DFT GGA-PBE
data_KCoW2
_chemical_formula_sum 'K2 Co2 W4'
_cell_length_a 2.831
_cell_length_b 5.564
_cell_length_c 9.813
_cell_angle_alpha 90.00
_cell_angle_beta 90.00
_cell_angle_gamma 90.00
_space_group_name_H-M_alt 'I m m 2'
_space_group_IT_number 44
loop_
_space_group_symop_operation_xyz
'x,y,z'
'-x,-y,z'
'-x,y,z'
'x,-y,z'
'x+1/2,y+1/2,z+1/2'
'-x+1/2,-y+1/2,z+1/2'
'-x+1/2,y+1/2,z+1/2'
'x+1/2,-y+1/2,z+1/2'
loop_
_atom_site_label
_atom_site_fract_x
_atom_site_fract_y
_atom_site_fract_z
_atom_site_occupancy
K1 0.000 0.000 0.000 1
Co1 0.000 0.500 0.223 1
W1 0.000 0.000 0.528 1
W2 0.000 0.500 0.807 1
# Magnetization (μB/f.u.): 0.5

5.
# KCoW2, optimized geometry, DFT GGA-PBE
data_KCoW2
_chemical_formula_sum 'K3 Co3 W6'
_cell_length_a 2.7961
_cell_length_b 2.7961
_cell_length_c 31.5064
_cell_angle_alpha 90.00
_cell_angle_beta 90.00
_cell_angle_gamma 120.00
_space_group_name_H-M_alt 'R -3 m'
_space_group_IT_number 166
_space_group_name_Hall '-R 3 2"'
loop_
_atom_site_label
_atom_site_fract_x
_atom_site_fract_y
_atom_site_fract_z
_atom_site_occupancy
K1 0.0000 0.0000 0.0000 1
Co1 0.0000 0.0000 0.5000 1
W1 0.0000 0.0000 0.2323 1
# Magnetization (μB/f.u.): 0.5

6.
# KCo2W, optimized geometry, DFT GGA-PBE
data_KCo2W
_chemical_formula_sum 'K4 Co8 W4'
_cell_length_a 7.028
_cell_length_b 7.028
_cell_length_c 6.435
_cell_angle_alpha 90.00
_cell_angle_beta 90.00
_cell_angle_gamma 90.00
_space_group_name_H-M_alt 'I -4 2 d'
_space_group_IT_number 122
_space_group_name_Hall 'I -4 2bw'
loop_
_atom_site_label
_atom_site_fract_x
_atom_site_fract_y
_atom_site_fract_z
_atom_site_occupancy
K1 0.000 0.000 0.000 1
Co1 0.179 0.250 0.625 1
W1 0.000 0.000 0.500 1
# Magnetization (μB/f.u.): 0.0

7.
# KCo3W, optimized geometry, DFT GGA-PBE
data_KCo3W
_chemical_formula_sum 'K1 Co3 W1'
_cell_length_a 4.211
_cell_length_b 4.211
_cell_length_c 4.211
_cell_angle_alpha 90.00
_cell_angle_beta 90.00
_cell_angle_gamma 90.00
_space_group_name_H-M_alt 'P m -3 m'
_space_group_IT_number 221
_space_group_name_Hall '-P 4 2 3'
loop_
_atom_site_label
_atom_site_fract_x
_atom_site_fract_y
_atom_site_fract_z
_atom_site_occupancy
K1 0.000 0.000 0.000 1
Co1 0.000 0.000 0.500 1
W1 0.500 0.500 0.500 1
# Magnetization (μB/f.u.): 0.0

8.
# KCo2W, optimized geometry, DFT GGA-PBE
data_KCo2W
_chemical_formula_sum 'K2 Co4 W2'
_cell_length_a 3.684
_cell_length_b 3.684
_cell_length_c 9.299
_cell_angle_alpha 90.00
_cell_angle_beta 90.00
_cell_angle_gamma 90.00
_space_group_name_H-M_alt 'I -4 m 2'
_space_group_IT_number 119
_space_group_name_Hall 'I -4 -2'
loop_
_atom_site_label
_atom_site_fract_x
_atom_site_fract_y
_atom_site_fract_z
_atom_site_occupancy
K1 0.000 0.000 0.000 1
Co1 0.000 0.000 0.500 1
Co2 0.000 0.500 0.250 1
W1 0.000 0.500 0.750 1
# Magnetization (μB/f.u.): 0.5

What energy of formation values result from the calculations? In sequence: 1.46; 0.78; 1.36; 1.49; 0.96; 1.37; 2.75; 1.69 eV/atom.